Ba4VSn3O12 | GGA+U | relaxed Values from VASP.

```
&SYSTEM
  ibrav = 0, nat = 20, ntyp = 4
/
ATOMIC_SPECIES
O 16.00 O.upf
Ba 137.33 Ba.upf
Sn 118.71 Sn.upf
V 50.94 V.upf
CELL_PARAMETERS angstrom
7.1801 0.0000 0.0000
-2.3934 6.7694 0.0000
-2.3934 -3.3847 5.8625
ATOMIC_POSITIONS angstrom
O -3.6227 2.5616 4.4369
O -1.1640 0.8231 1.4256
O 3.6227 5.1233 0.0000
O 1.1967 4.2309 1.4656
O 3.5900 2.5385 1.4656
O 1.1640 -0.8231 1.4256
O -1.1967 3.3847 2.9313
O 3.6227 -2.5616 4.4369
O -1.1967 0.8462 4.3969
O 1.1967 -0.8462 4.3969
O 1.1640 1.6462 0.0000
O 3.5900 0.0000 2.9313
Ba -1.1967 3.3847 0.0000
Ba -1.1967 -1.6924 2.9313
Ba 3.5900 0.0000 0.0000
Ba 1.1967 1.6924 2.9313
Sn -2.3934 1.6924 2.9313
Sn 2.3934 3.3847 0.0000
Sn 2.3934 -1.6924 2.9313
V 0.0000 0.0000 0.0000
```

Computed properties:
Its magnetization is 0.05 μB/atom. For the final energy, the calculation gives -0.479 Ry/atom. The crystal system is cubic.